First-principles (PBE) data for a relaxed structure of Cr2TcTe, as listed in the Alexandria database.

Summary:
- Space group: I-42d, No. 122
- Energy: -7.211 eV/atom

extended XYZ file:
```
8
Lattice="-2.9904 2.9904 5.3523 2.9904 -2.9904 5.3523 2.9904 2.9904 -5.3523" Properties=species:S:1:pos:R:3 pbc="T T T"
Cr 4.4855 1.2429 -1.3381
Cr 1.2429 1.4952 1.3381
Cr -1.4952 1.7475 4.0142
Cr 1.7475 1.4952 6.6903
Tc 0.0000 0.0000 0.0000
Tc 0.0000 2.9904 2.6761
Te 2.9904 0.0000 2.6761
Te 0.0000 0.0000 5.3523
```

***

First-principles (PBE) data for a relaxed structure of BaLa3Ru, as listed in the Alexandria database.

Summary:
- Energy above the most stable polymorph in this dataset: 0.164 eV per atom
- Energy of formation from the pure elements: 0.1 eV per formula unit
- Space group: Pnma, No. 62

extended XYZ file:
```
20
Lattice="7.1784 0.0000 0.0000 0.0000 9.0185 0.0000 0.0000 0.0000 11.4996" Properties=species:S:1:pos:R:3 pbc="T T T"
Ba 0.0000 0.0000 0.0000
Ba 0.0000 4.5092 0.0000
Ba 3.5892 0.0000 5.7498
Ba 3.5892 4.5092 5.7498
La 0.0021 0.5601 4.0818
La 0.0021 3.9491 4.0818
La 7.1763 5.0694 7.4178
La 7.1763 8.4583 7.4178
La 1.7897 2.2546 8.6266
La 1.7995 6.7638 2.8768
La 3.5913 0.5601 1.6680
La 3.5913 3.9491 1.6680
La 3.5871 5.0694 9.8316
La 3.5871 8.4583 9.8316
La 5.3788 2.2546 8.6228
La 5.3887 6.7638 2.8730
Ru 0.0189 6.7638 5.0915
Ru 3.5703 2.2546 10.8413
Ru 3.6081 6.7638 0.6583
Ru 7.1595 2.2546 6.4081
```

***

First-principles (PBE) data for a relaxed structure of LaPr3Dy7, as listed in the Alexandria database.

Summary:
- Energy above the most stable polymorph in this dataset: 0.000 eV per atom
- Energy of formation from the pure elements: 2.0 eV per formula unit
- Space group: P3m1, No. 156

extended XYZ file:
```
11
Lattice="7.1226 0.0000 0.0000 -3.5613 6.1684 0.0000 0.0000 0.0000 8.7976" Properties=species:S:1:pos:R:3 pbc="T T T"
La 0.0000 0.0000 0.0000
Pr 1.7849 1.0305 5.7901
Pr 5.3377 1.0305 5.7901
Pr 3.5613 4.1074 5.7901
Dy 0.0000 2.0535 2.8456
Dy -1.7829 5.1416 2.8456
Dy 3.5613 0.0103 8.7849
Dy 1.7895 3.0791 8.7849
Dy 3.5613 2.0561 2.8096
Dy 1.7829 5.1416 2.8456
Dy 5.3331 3.0791 8.7849
```